Density functional theory data (PBE-GGA) for a relaxed structure of Hg2PdBr6.

Energy relative to the elements, uncorrected ... -0.376 eV per atom
V ... 36.03 Å³/atom
Space group ... C2/c
Size of the total moment ... 0.00 μB per cell

Cell lengths 7.934, 9.904, 9.904 Å; angles 72.53, 66.91, 66.91 degrees
Sites, in units of the cell vectors:
Hg 0.170 0.641 0.833
Hg 0.330 0.167 0.359
Hg 0.830 0.359 0.167
Hg 0.670 0.833 0.641
Pd 0.250 0.179 0.821
Pd 0.750 0.821 0.179
Br 0.579 0.596 0.696
Br 0.921 0.304 0.404
Br 0.421 0.404 0.304
Br 0.079 0.696 0.596
Br 0.779 0.965 0.328
Br 0.721 0.672 0.035
Br 0.221 0.035 0.672
Br 0.279 0.328 0.965
Br 0.104 0.736 0.078
Br 0.396 0.922 0.264
Br 0.896 0.264 0.922
Br 0.604 0.078 0.736